Compound: SnPtSe4
Source: Alexandria
Functional: PBE-GGA
Structure: relaxed

```
data_SnPtSe4
_chemical_formula_sum 'Sn4 Pt4 Se16'
_space_group_name_H-M_alt 'I m m a'
_space_group_IT_number 74
_space_group_name_Hall '-I 2b 2'
_cell_length_a 7.586
_cell_length_b 7.789
_cell_length_c 10.742
_cell_angle_alpha 90.00
_cell_angle_beta 90.00
_cell_angle_gamma 90.00
loop_
_atom_site_label
_atom_site_fract_x
_atom_site_fract_y
_atom_site_fract_z
Sn1 0.000 0.000 0.000
Pt1 0.250 0.250 0.250
Se1 0.000 0.033 0.252
Se2 0.245 0.250 0.487
```

Results
N(E_F), states/eV/cell: 0.01
Total DFT energy (no corrections), eV for the cell shown: -105.12
Crystal system: orthorhombic